DFT (PBE) results for crystalline Li4Pb3Au2 at its relaxed geometry.

```
data_Li4Pb3Au2
_space_group_name_H-M_alt 'P -1'
_space_group_IT_number 2
_cell_length_a 4.279
_cell_length_b 5.092
_cell_length_c 9.685
_cell_angle_alpha 102.90
_cell_angle_beta 90.24
_cell_angle_gamma 114.51
loop_
_space_group_symop_operation_xyz
'x,y,z'
'-x,-y,-z'
loop_
_atom_site_label
_atom_site_type_symbol
_atom_site_fract_x
_atom_site_fract_y
_atom_site_fract_z
Li1 Li 0.004 0.013 0.303
Li2 Li 0.333 0.666 0.101
Pb1 Pb 0.000 0.000 0.000
Pb2 Pb 0.329 0.658 0.415
Au1 Au 0.314 0.626 0.806
```

Computed properties:
Its energy is -28.0 eV per cell. Its excess energy over the best structure of this formula in the dataset is 0 meV per atom. The formation energy is -0.299 eV per atom.



DFT (PBE) results for crystalline LiMg2GaIr at its relaxed geometry.

```
data_LiMg2GaIr
_space_group_name_H-M_alt 'P 4/m m m'
_space_group_IT_number 123
_space_group_name_Hall '-P 4 2'
_cell_length_a 5.011
_cell_length_b 5.011
_cell_length_c 4.772
_cell_angle_alpha 90.00
_cell_angle_beta 90.00
_cell_angle_gamma 90.00
loop_
_atom_site_label
_atom_site_type_symbol
_atom_site_fract_x
_atom_site_fract_y
_atom_site_fract_z
Li1 Li 0.000 0.000 0.000
Mg1 Mg 0.000 0.500 0.500
Ga1 Ga 0.500 0.500 0.000
Ir1 Ir 0.500 0.500 0.500
```

Computed properties:
Its energy is -17.9 eV per cell. The formation energy is -0.181 eV per atom.